VASP calculation (GGA-PBE) on crystalline KTlSb4 at its relaxed geometry.

- DOS(E_F) (states/eV/f.u.) = 0.3
- raw formation energy (eV/atom) = -0.139

a = 9.147 Å, b = 9.147 Å, c = 9.147 Å
α = 90.00°, β = 90.00°, γ = 90.00°
Space group F-43m (No. 216)
Inequivalent atoms, fractional coordinates:
1 K 0.000 0.000 0.000
2 Tl 0.250 0.250 0.750
3 Sb 0.124 0.124 0.376



VASP calculation (GGA-PBE) on crystalline La2Co5Ni5 at its relaxed geometry.

- energy of formation from the pure elements (eV/atom) = -0.116
- DOS(E_F) (states/eV/f.u.) = 19.4

a = 3.989 Å, b = 5.033 Å, c = 8.614 Å
α = 90.00°, β = 90.00°, γ = 90.00°
Space group Pmmm (No. 47)
Inequivalent atoms, fractional coordinates:
1 La 0.000 0.000 0.000
2 La 0.000 0.500 0.500
3 Co 0.000 0.000 0.335
4 Co 0.000 0.500 0.157
5 Co 0.500 0.500 0.000
6 Ni 0.500 0.000 0.500
7 Ni 0.500 0.250 0.250



VASP calculation (GGA-PBE) on crystalline Na2SrTi at its relaxed geometry.

- energy of formation from the pure elements (eV/atom) = 0.780
- ΔE to the lowest computed polymorph (meV per atom) = 137.8
- DOS(E_F) (states/eV/f.u.) = 7.1

a = 9.242 Å, b = 9.242 Å, c = 6.709 Å
α = 90.00°, β = 90.00°, γ = 90.00°
Space group I-42d (No. 122)
Inequivalent atoms, fractional coordinates:
1 Na 0.220 0.750 0.125
2 Sr 0.000 0.000 0.500
3 Ti 0.000 0.000 0.000



VASP calculation (GGA-PBE) on crystalline YTc2Os at its relaxed geometry.

- energy of formation from the pure elements (eV/atom) = 0.449
- ΔE to the lowest computed polymorph (meV per atom) = 462.1
- DOS(E_F) (states/eV/f.u.) = 6.6

a = 2.8617 Å, b = 2.8617 Å, c = 28.5010 Å
α = 90.00°, β = 90.00°, γ = 120.00°
Space group R3m (No. 160, hexagonal axes)
Inequivalent atoms, fractional coordinates:
1 Y 0.0000 0.0000 0.0000
2 Tc 0.0000 0.0000 0.2406
3 Tc 0.0000 0.0000 0.5001
4 Os 0.0000 0.0000 0.7584



VASP calculation (GGA-PBE) on crystalline LiYCdS2 at its relaxed geometry.

- ΔE to the lowest computed polymorph (meV per atom) = 0.0
- DOS(E_F) (states/eV/f.u.) = 4.0
- raw formation energy (eV/atom) = -0.544

a = 5.258 Å, b = 5.258 Å, c = 5.855 Å
α = 90.00°, β = 90.00°, γ = 90.00°
Space group P4/mmm (No. 123)
Inequivalent atoms, fractional coordinates:
1 Li 0.000 0.000 0.000
2 Y 0.500 0.500 0.500
3 Cd 0.500 0.500 0.000
4 S 0.000 0.500 0.500



VASP calculation (GGA-PBE) on crystalline MgGa6Ag3 at its relaxed geometry.

- energy of formation from the pure elements (eV/atom) = -0.010
- DOS(E_F) (states/eV/f.u.) = 4.5

a = 8.376 Å, b = 13.328 Å, c = 6.747 Å
α = 90.00°, β = 90.00°, γ = 90.00°
Space group Cmc2_1 (No. 36)
Inequivalent atoms, fractional coordinates:
1 Mg 0.000 0.177 0.000
2 Ga 0.000 0.037 0.320
3 Ga 0.000 0.265 0.410
4 Ga 0.178 0.449 0.470
5 Ga 0.203 0.323 0.771
6 Ag 0.000 0.389 0.072
7 Ag 0.171 0.124 0.647



VASP calculation (GGA-PBE) on crystalline TaTcSbO2 at its relaxed geometry.

- DOS(E_F) (states/eV/f.u.) = 4.3
- raw formation energy (eV/atom) = -0.836

a = 3.916 Å, b = 3.916 Å, c = 6.071 Å
α = 90.00°, β = 90.00°, γ = 90.00°
Space group P4/mmm (No. 123)
Inequivalent atoms, fractional coordinates:
1 Ta 0.000 0.000 0.000
2 Tc 0.500 0.500 0.500
3 Sb 0.000 0.000 0.500
4 O 0.000 0.500 0.000



VASP calculation (GGA-PBE) on crystalline Y2CoP2 at its relaxed geometry.

- energy of formation from the pure elements (eV/atom) = -0.923
- DOS(E_F) (states/eV/f.u.) = 1.8

a = 6.396 Å, b = 6.396 Å, c = 4.278 Å
α = 90.00°, β = 90.00°, γ = 90.00°
Space group P4/mbm (No. 127)
Inequivalent atoms, fractional coordinates:
1 Y 0.177 0.323 0.000
2 Co 0.000 0.000 0.500
3 P 0.133 0.633 0.500



VASP calculation (GGA-PBE) on crystalline Y2AgGe2Rh5 at its relaxed geometry.

- energy of formation from the pure elements (eV/atom) = -0.668
- DOS(E_F) (states/eV/f.u.) = 4.9

a = 9.809 Å, b = 9.809 Å, c = 3.594 Å
α = 90.00°, β = 90.00°, γ = 90.00°
Space group P4/mbm (No. 127)
Inequivalent atoms, fractional coordinates:
1 Y 0.174 0.326 0.000
2 Ag 0.000 0.000 0.000
3 Ge 0.126 0.626 0.000
4 Rh 0.000 0.500 0.500
5 Rh 0.068 0.790 0.500



VASP calculation (GGA-PBE) on crystalline AcMgHg at its relaxed geometry.

- energy of formation from the pure elements (eV/atom) = -0.328
- ΔE to the lowest computed polymorph (meV per atom) = 63.7
- DOS(E_F) (states/eV/f.u.) = 3.2

a = 5.1515 Å, b = 5.1515 Å, c = 3.8875 Å
α = 90.00°, β = 90.00°, γ = 120.00°
Space group P-6m2 (No. 187)
Inequivalent atoms, fractional coordinates:
1 Ac 0.0000 0.0000 0.0000
2 Mg 0.3333 0.6667 0.5000
3 Hg 0.6667 0.3333 0.5000



VASP calculation (GGA-PBE) on crystalline Nb2AsPt2 at its relaxed geometry.

- energy of formation from the pure elements (eV/atom) = -0.217
- ΔE to the lowest computed polymorph (meV per atom) = 115.9
- DOS(E_F) (states/eV/f.u.) = 4.4

a = 6.864 Å, b = 6.864 Å, c = 3.784 Å
α = 90.00°, β = 90.00°, γ = 90.00°
Space group P4/mbm (No. 127)
Inequivalent atoms, fractional coordinates:
1 Nb 0.162 0.338 0.000
2 As 0.000 0.000 0.500
3 Pt 0.136 0.636 0.500



VASP calculation (GGA-PBE) on crystalline ZnRu2 at its relaxed geometry.

- energy of formation from the pure elements (eV/atom) = 0.032
- DOS(E_F) (states/eV/f.u.) = 2.8

a = 9.819 Å, b = 2.774 Å, c = 6.365 Å
α = 90.00°, β = 105.08°, γ = 90.00°
Space group C2/m (No. 12)
Inequivalent atoms, fractional coordinates:
1 Zn 0.195 0.000 0.135
2 Ru 0.024 0.500 0.798
3 Ru 0.135 0.000 0.525



VASP calculation (GGA-PBE) on crystalline Ni2OsAu at its relaxed geometry.

- energy of formation from the pure elements (eV/atom) = 0.308
- ΔE to the lowest computed polymorph (meV per atom) = 174.7
- DOS(E_F) (states/eV/f.u.) = 6.6

a = 5.482 Å, b = 7.383 Å, c = 2.667 Å
α = 90.00°, β = 90.00°, γ = 90.00°
Space group Cmmm (No. 65)
Inequivalent atoms, fractional coordinates:
1 Ni 0.250 0.250 0.000
2 Os 0.000 0.000 0.500
3 Au 0.000 0.500 0.500



VASP calculation (GGA-PBE) on crystalline CaTbInRh at its relaxed geometry.

- energy of formation from the pure elements (eV/atom) = -0.437
- DOS(E_F) (states/eV/f.u.) = 3.5

a = 7.228 Å, b = 7.228 Å, c = 7.228 Å
α = 90.00°, β = 90.00°, γ = 90.00°
Space group F-43m (No. 216)
Inequivalent atoms, fractional coordinates:
1 Ca 0.000 0.000 0.000
2 Tb 0.000 0.000 0.500
3 In 0.250 0.250 0.750
4 Rh 0.250 0.250 0.250



VASP calculation (GGA-PBE) on crystalline Na2ScSn2 at its relaxed geometry.

- energy of formation from the pure elements (eV/atom) = -0.055
- ΔE to the lowest computed polymorph (meV per atom) = 54.7
- DOS(E_F) (states/eV/f.u.) = 2.5

a = 8.866 Å, b = 8.866 Å, c = 3.199 Å
α = 90.00°, β = 90.00°, γ = 90.00°
Space group P4/mbm (No. 127)
Inequivalent atoms, fractional coordinates:
1 Na 0.112 0.388 0.000
2 Sc 0.000 0.000 0.000
3 Sn 0.187 0.687 0.500



VASP calculation (GGA-PBE) on crystalline TbGa3NiIr at its relaxed geometry.

- energy of formation from the pure elements (eV/atom) = -0.407
- DOS(E_F) (states/eV/f.u.) = 2.5

a = 7.815 Å, b = 10.591 Å, c = 5.471 Å
α = 90.00°, β = 90.00°, γ = 90.00°
Space group Cmcm (No. 63)
Inequivalent atoms, fractional coordinates:
1 Tb 0.000 0.204 0.250
2 Ga 0.000 0.321 0.750
3 Ga 0.249 0.000 0.000
4 Ni 0.000 0.459 0.250
5 Ir 0.000 0.090 0.750



VASP calculation (GGA-PBE) on crystalline Ce2HoTc at its relaxed geometry.

- energy of formation from the pure elements (eV/atom) = 0.055
- ΔE to the lowest computed polymorph (meV per atom) = 101.8
- DOS(E_F) (states/eV/f.u.) = 9.8

a = 3.435 Å, b = 3.435 Å, c = 8.579 Å
α = 90.00°, β = 90.00°, γ = 90.00°
Space group P4/mmm (No. 123)
Inequivalent atoms, fractional coordinates:
1 Ce 0.000 0.000 0.202
2 Ho 0.500 0.500 0.500
3 Tc 0.500 0.500 0.000



VASP calculation (GGA-PBE) on crystalline K4CeTa3O12 at its relaxed geometry.

- DOS(E_F) (states/eV/f.u.) = 12.2
- raw formation energy (eV/atom) = -2.574

a = 8.294 Å, b = 8.294 Å, c = 8.294 Å
α = 90.00°, β = 90.00°, γ = 90.00°
Space group Im-3m (No. 229)
Inequivalent atoms, fractional coordinates:
1 K 0.250 0.250 0.250
2 Ce 0.000 0.000 0.000
3 Ta 0.000 0.000 0.500
4 O 0.000 0.000 0.266
5 O 0.000 0.250 0.500



VASP calculation (GGA-PBE) on crystalline YCrCo2 at its relaxed geometry.

- energy of formation from the pure elements (eV/atom) = 0.232
- ΔE to the lowest computed polymorph (meV per atom) = 208.9
- DOS(E_F) (states/eV/f.u.) = 7.2

a = 6.235 Å, b = 6.235 Å, c = 6.235 Å
α = 90.00°, β = 90.00°, γ = 90.00°
Space group Fm-3m (No. 225)
Inequivalent atoms, fractional coordinates:
1 Y 0.000 0.000 0.000
2 Cr 0.000 0.000 0.500
3 Co 0.250 0.250 0.250



VASP calculation (GGA-PBE) on crystalline CsKZnCd2 at its relaxed geometry.

- energy of formation from the pure elements (eV/atom) = 0.096
- DOS(E_F) (states/eV/f.u.) = 3.6

a = 5.434 Å, b = 5.434 Å, c = 6.346 Å
α = 90.00°, β = 90.00°, γ = 90.00°
Space group P4/mmm (No. 123)
Inequivalent atoms, fractional coordinates:
1 Cs 0.000 0.000 0.000
2 K 0.500 0.500 0.000
3 Zn 0.500 0.500 0.500
4 Cd 0.000 0.500 0.500



In the order shown, the computed total moment values come out to 0.00, 8.43, 14.00, 0.00, 0.08, 0.00, 3.38, 1.59, 0.00, 0.00, 0.00, 0.00, 0.06, 0.00, 0.00, 0.00, 0.94, 1.34, 14.93, 0.00 μB/cell.
In the order shown, the computed ρ values come out to 6.34, 8.31, 2.10, 11.71, 2.79, 6.76, 7.72, 5.67, 9.08, 8.40, 12.13, 10.62, 15.53, 7.33, 4.34, 9.08, 8.91, 6.00, 7.09, 4.10 g cm⁻³.